Entry 1:
Compound: NbSn2Cl8
Source: Alexandria via LeMat-Bulk
Functional: GGA-PBE
Structure: optimized geometry

Calculated values
Its formation energy (no corrections) is -1146.4 kJ/mol of formula units. As for the space group: No. 12.

Cell lengths 6.656, 8.410, 8.410 Å; angles 65.08, 60.28, 60.28 degrees
Sites, in units of the cell vectors:
Nb1 0.000 0.000 0.000
Sn1 0.954 0.650 0.650
Sn2 0.046 0.350 0.350
Cl1 0.971 0.950 0.321
Cl2 0.971 0.321 0.950
Cl3 0.029 0.050 0.679
Cl4 0.328 0.422 0.422
Cl5 0.029 0.679 0.050
Cl6 0.440 0.893 0.893
Cl7 0.560 0.107 0.107
Cl8 0.672 0.578 0.578


Entry 2:
Compound: Tb2In3Au2
Source: Alexandria via LeMat-Bulk
Functional: GGA-PBE
Structure: optimized geometry

Calculated values
For the formation energy, the calculation gives -382 kJ/mol of formula units. As for the space group: No. 2.

Cell lengths 4.440, 5.889, 7.693 Å; angles 65.34, 73.28, 67.78 degrees
Sites, in units of the cell vectors:
Tb1 0.146 0.499 0.208
Tb2 0.854 0.501 0.792
Au1 0.163 0.884 0.789
Au2 0.837 0.116 0.211
In1 0.500 0.000 0.000
In2 0.390 0.788 0.436
In3 0.610 0.212 0.564


Entry 3:
Compound: Er4Hg2Au
Source: Alexandria via LeMat-Bulk
Functional: GGA-PBE
Structure: optimized geometry

Calculated values
For the formation energy, the calculation gives -289 kJ/mol of formula units. As for the space group: No. 166.

Cell lengths 5.096, 5.096, 8.863 Å; angles 73.29, 73.29, 60.00 degrees
Sites, in units of the cell vectors:
Au1 0.000 0.000 0.000
Hg1 0.755 0.755 0.734
Hg2 0.245 0.245 0.266
Er1 0.877 0.877 0.370
Er2 0.123 0.123 0.630
Er3 0.626 0.626 0.122
Er4 0.374 0.374 0.878


Entry 4:
Compound: MgCd2Sn
Source: Alexandria via LeMat-Bulk
Functional: GGA-PBE
Structure: optimized geometry

Calculated values
For the formation energy, the calculation gives -1 kJ/mol of formula units. The excess energy over the best structure of this formula in the dataset is 31 meV per atom. As for the space group: No. 123.

Cell lengths 3.271, 3.271, 8.852 Å; angles 90.00, 90.00, 90.00 degrees
Sites, in units of the cell vectors:
Mg1 0.500 0.500 0.000
Sn1 0.500 0.500 0.500
Cd1 0.000 0.000 0.769
Cd2 0.000 0.000 0.231


Entry 5:
Compound: TaWC2
Source: Alexandria via LeMat-Bulk
Functional: GGA-PBE
Structure: optimized geometry

Calculated values
For the formation energy, the calculation gives 196 kJ/mol of formula units. The excess energy over the best structure of this formula in the dataset is 666 meV per atom. As for the space group: No. 12.

Cell lengths 4.373, 4.373, 3.225 Å; angles 66.08, 66.08, 88.06 degrees
Sites, in units of the cell vectors:
C1 0.000 0.000 0.000
C2 0.500 0.500 0.000
W1 0.000 0.500 0.500
Ta1 0.500 0.000 0.500


Entry 6:
Compound: LaNdCdIn
Source: Alexandria via LeMat-Bulk
Functional: GGA-PBE
Structure: optimized geometry

Calculated values
For the formation energy, the calculation gives -162 kJ/mol of formula units. As for the space group: No. 216.

Cell lengths 5.536, 5.536, 5.536 Å; angles 60.00, 60.00, 60.00 degrees
Sites, in units of the cell vectors:
Cd1 0.750 0.750 0.750
In1 0.250 0.250 0.250
Nd1 0.500 0.500 0.500
La1 0.000 0.000 0.000


Entry 7:
Compound: KScTa2
Source: Alexandria via LeMat-Bulk
Functional: GGA-PBE
Structure: optimized geometry

Calculated values
For the formation energy, the calculation gives 330 kJ/mol of formula units. The excess energy over the best structure of this formula in the dataset is 298 meV per atom. As for the space group: No. 10.

Cell lengths 5.189, 2.951, 7.556 Å; angles 78.05, 90.00, 90.00 degrees
Sites, in units of the cell vectors:
K1 0.500 0.250 0.250
Sc1 0.500 0.750 0.750
Ta1 0.000 0.973 0.898
Ta2 0.000 0.527 0.602


Entry 8:
Compound: Be2H
Source: Alexandria via LeMat-Bulk
Functional: GGA-PBE
Structure: optimized geometry

Calculated values
The excess energy over the best structure of this formula in the dataset is 51 meV per atom. As for the space group: No. 1.

Cell lengths 2.140, 2.373, 9.827 Å; angles 89.83, 87.97, 64.15 degrees
Sites, in units of the cell vectors:
Be1 0.246 0.338 0.038
Be2 0.523 0.765 0.223
Be3 0.312 0.331 0.674
Be4 0.961 0.944 0.857
H1 0.001 0.777 0.323
H2 0.830 0.327 0.573


Entry 9:
Compound: MnNb2AlP
Source: Alexandria via LeMat-Bulk
Functional: GGA-PBE
Structure: optimized geometry

Calculated values
For the formation energy, the calculation gives 568 kJ/mol of formula units. As for the space group: No. 123.

Cell lengths 4.765, 4.297, 4.765 Å; angles 90.00, 90.00, 90.00 degrees
Sites, in units of the cell vectors:
P1 0.500 0.500 0.500
Nb1 0.000 0.000 0.500
Nb2 0.500 0.000 0.000
Mn1 0.000 0.500 0.000
Al1 0.000 0.000 0.000


Entry 10:
Compound: SrTa2Bi2O9
Source: Alexandria via LeMat-Bulk
Functional: GGA-PBE
Structure: optimized geometry

Calculated values
Its formation energy (no corrections) is -3198.9 kJ/mol of formula units. The excess energy over the best structure of this formula in the dataset is 28 meV per atom. As for the space group: No. 139.

Cell lengths 12.847, 12.847, 12.847 Å; angles 162.37, 162.37, 25.04 degrees
Sites, in units of the cell vectors:
Sr1 0.000 0.000 0.000
Bi1 0.201 0.201 0.000
Bi2 0.799 0.799 0.000
O1 0.577 0.077 0.500
O2 0.750 0.250 0.500
O3 0.923 0.423 0.500
O4 0.500 0.500 0.000
O5 0.423 0.923 0.500
O6 0.339 0.339 0.000
O7 0.077 0.577 0.500
O8 0.250 0.750 0.500
O9 0.661 0.661 0.000
Ta1 0.586 0.586 0.000
Ta2 0.414 0.414 0.000


Entry 11:
Compound: Ac2Pm8Pr
Source: Alexandria via LeMat-Bulk
Functional: GGA-PBE
Structure: optimized geometry

Calculated values
For the formation energy, the calculation gives 151 kJ/mol of formula units. The excess energy over the best structure of this formula in the dataset is 0 meV per atom. As for the space group: No. 12.

Cell lengths 7.008, 10.650, 10.650 Å; angles 37.87, 58.47, 58.47 degrees
Sites, in units of the cell vectors:
Ac1 0.591 0.798 0.798
Ac2 0.409 0.202 0.202
Pm1 0.226 0.352 0.824
Pm2 0.774 0.176 0.648
Pm3 0.169 0.754 0.754
Pm4 0.831 0.246 0.246
Pm5 0.226 0.824 0.352
Pm6 0.774 0.648 0.176
Pm7 0.729 0.585 0.585
Pm8 0.271 0.415 0.415
Pr1 0.000 0.000 0.000


Entry 12:
Compound: Al2ReAs
Source: Alexandria via LeMat-Bulk
Functional: GGA-PBE
Structure: optimized geometry

Calculated values
For the formation energy, the calculation gives 11 kJ/mol of formula units. The excess energy over the best structure of this formula in the dataset is 95 meV per atom. As for the space group: No. 166.

Cell lengths 8.660, 8.660, 8.660 Å; angles 19.61, 19.61, 19.61 degrees
Sites, in units of the cell vectors:
Re1 0.750 0.750 0.750
As1 0.250 0.250 0.250
Al1 0.006 0.006 0.006
Al2 0.494 0.494 0.494


N(E_F) readings, ordered: 0.281, 0.422, 0.933, 0.476, 0.575, 1.408, 1.337, 0.055, 1.174, 0.000, 1.609, 0.706 states/eV/atom